(1)
# KFeTe, optimized geometry, DFT PBE
# DOS(E_F) (states/eV/atom): 3.77
# Energy above the most stable polymorph in this dataset (eV/atom): 1.066
# Energy relative to the elements, uncorrected (eV/f.u.): 2.7
# Size of the total moment (μB per cell): 14.94
# DFT total energy (eV per atom): -3.320
data_KFeTe
_cell_length_a 7.448
_cell_length_b 7.448
_cell_length_c 7.448
_cell_angle_alpha 90.00
_cell_angle_beta 90.00
_cell_angle_gamma 90.00
_space_group_name_H-M_alt 'F -4 3 m'
_space_group_IT_number 216
_space_group_name_Hall 'F -4 2 3'
loop_
_atom_site_label
_atom_site_type_symbol
_atom_site_fract_x
_atom_site_fract_y
_atom_site_fract_z
K1 K 0.000 0.000 0.000
Fe1 Fe 0.250 0.250 0.750
Te1 Te 0.250 0.250 0.250



(2)
# TlHgO2, optimized geometry, DFT PBE
# DOS(E_F) (states/eV/atom): 0.48
# Energy above the most stable polymorph in this dataset (eV/atom): 0.141
# Energy relative to the elements, uncorrected (eV/f.u.): -1.1
# Size of the total moment (μB per cell): 0.00
# DFT total energy (eV per atom): -3.425
data_TlHgO2
_cell_length_a 3.4468
_cell_length_b 3.4468
_cell_length_c 19.1298
_cell_angle_alpha 90.00
_cell_angle_beta 90.00
_cell_angle_gamma 120.00
_space_group_name_H-M_alt 'R 3 m'
_space_group_IT_number 160
_space_group_name_Hall 'R 3 -2"'
loop_
_atom_site_label
_atom_site_type_symbol
_atom_site_fract_x
_atom_site_fract_y
_atom_site_fract_z
Tl1 Tl 0.0000 0.0000 0.0000
Hg1 Hg 0.0000 0.0000 0.8276
O1 O 0.0000 0.0000 0.4011
O2 O 0.0000 0.0000 0.6063



(3)
# Y2ScUSb4, optimized geometry, DFT PBE
# DOS(E_F) (states/eV/atom): 0.98
# Energy relative to the elements, uncorrected (eV/f.u.): -6.8
# Size of the total moment (μB per cell): 2.53
# DFT total energy (eV per atom): -6.724
data_Y2ScUSb4
_cell_length_a 7.498
_cell_length_b 4.316
_cell_length_c 7.529
_cell_angle_alpha 90.00
_cell_angle_beta 109.08
_cell_angle_gamma 90.00
_space_group_name_H-M_alt 'P 1 2/m 1'
_space_group_IT_number 10
loop_
_space_group_symop_operation_xyz
'x,y,z'
'-x,-y,-z'
'-x,y,-z'
'x,-y,z'
loop_
_atom_site_label
_atom_site_type_symbol
_atom_site_fract_x
_atom_site_fract_y
_atom_site_fract_z
Y1 Y 0.000 0.000 0.000
Y2 Y 0.000 0.500 0.500
Sc1 Sc 0.500 0.000 0.500
U1 U 0.500 0.500 0.000
Sb1 Sb 0.255 0.000 0.744
Sb2 Sb 0.261 0.500 0.259